No. 1
# MgSc2Hg4 | Alexandria | GGA-PBE | optimized geometry
data_MgSc2Hg4
_chemical_formula_sum 'Mg3 Sc6 Hg12'
_space_group_name_H-M_alt 'R -3 m'
_space_group_IT_number 166
_space_group_name_Hall '-R 3 2"'
_cell_length_a 4.8432
_cell_length_b 4.8432
_cell_length_c 23.9051
_cell_angle_alpha 90.00
_cell_angle_beta 90.00
_cell_angle_gamma 120.00
loop_
_atom_site_label
_atom_site_fract_x
_atom_site_fract_y
_atom_site_fract_z
Mg1 0.0000 0.0000 0.0000
Sc1 0.0000 0.0000 0.2514
Hg1 0.0000 0.0000 0.1287
Hg2 0.0000 0.0000 0.3795
# ΔE to the lowest computed polymorph	0.000	eV/atom
# density of states at the Fermi level	5.14	states/eV/f.u.

=====

No. 2
# Mg7ScHg4 | Alexandria | GGA-PBE | optimized geometry
data_Mg7ScHg4
_chemical_formula_sum 'Mg14 Sc2 Hg8'
_space_group_name_H-M_alt 'C 1 2/m 1'
_space_group_IT_number 12
_space_group_name_Hall '-C 2y'
_cell_length_a 12.948
_cell_length_b 5.245
_cell_length_c 10.279
_cell_angle_alpha 90.00
_cell_angle_beta 126.33
_cell_angle_gamma 90.00
loop_
_atom_site_label
_atom_site_fract_x
_atom_site_fract_y
_atom_site_fract_z
Mg1 0.000 0.000 0.000
Mg2 0.073 0.500 0.355
Mg3 0.161 0.000 0.596
Mg4 0.216 0.500 0.885
Sc1 0.000 0.500 0.000
Hg1 0.070 0.000 0.781
Hg2 0.209 0.000 0.327
# density of states at the Fermi level	5.63	states/eV/f.u.

=====

No. 3
# Mg2ScHg2 | Alexandria | GGA-PBE | optimized geometry
data_Mg2ScHg2
_chemical_formula_sum 'Mg4 Sc2 Hg4'
_space_group_name_H-M_alt 'P 4/m b m'
_space_group_IT_number 127
_space_group_name_Hall '-P 4 2ab'
_cell_length_a 8.015
_cell_length_b 8.015
_cell_length_c 3.465
_cell_angle_alpha 90.00
_cell_angle_beta 90.00
_cell_angle_gamma 90.00
loop_
_atom_site_label
_atom_site_fract_x
_atom_site_fract_y
_atom_site_fract_z
Mg1 0.160 0.340 0.000
Sc1 0.000 0.000 0.500
Hg1 0.141 0.641 0.500
# ΔE to the lowest computed polymorph	0.000	eV/atom
# density of states at the Fermi level	3.12	states/eV/f.u.

=====

No. 4
# MgSc3Hg2 | Alexandria | GGA-PBE | optimized geometry
data_MgSc3Hg2
_chemical_formula_sum 'Mg1 Sc3 Hg2'
_space_group_name_H-M_alt 'P 4/m m m'
_space_group_IT_number 123
_space_group_name_Hall '-P 4 2'
_cell_length_a 3.564
_cell_length_b 3.564
_cell_length_c 10.455
_cell_angle_alpha 90.00
_cell_angle_beta 90.00
_cell_angle_gamma 90.00
loop_
_atom_site_label
_atom_site_fract_x
_atom_site_fract_y
_atom_site_fract_z
Mg1 0.000 0.000 0.000
Sc1 0.500 0.500 0.170
Sc2 0.500 0.500 0.500
Hg1 0.000 0.000 0.327
# ΔE to the lowest computed polymorph	0.007	eV/atom
# density of states at the Fermi level	6.27	states/eV/f.u.

=====

No. 5
# Mg3ScHg2 | Alexandria | GGA-PBE | optimized geometry
data_Mg3ScHg2
_chemical_formula_sum 'Mg6 Sc2 Hg4'
_space_group_name_H-M_alt 'P m c 21'
_space_group_IT_number 26
_space_group_name_Hall 'P 2c -2'
_cell_length_a 4.649
_cell_length_b 8.673
_cell_length_c 6.490
_cell_angle_alpha 90.00
_cell_angle_beta 90.00
_cell_angle_gamma 90.00
loop_
_atom_site_label
_atom_site_fract_x
_atom_site_fract_y
_atom_site_fract_z
Mg1 0.000 0.055 0.000
Mg2 0.000 0.305 0.369
Mg3 0.500 0.191 0.712
Sc1 0.500 0.456 0.071
Hg1 0.000 0.372 0.808
Hg2 0.500 0.133 0.267
# density of states at the Fermi level	3.13	states/eV/f.u.

=====

No. 6
# Mg4ScHg5 | Alexandria | GGA-PBE | optimized geometry
data_Mg4ScHg5
_chemical_formula_sum 'Mg4 Sc1 Hg5'
_space_group_name_H-M_alt 'P 4/m m m'
_space_group_IT_number 123
_space_group_name_Hall '-P 4 2'
_cell_length_a 3.534
_cell_length_b 3.534
_cell_length_c 17.089
_cell_angle_alpha 90.00
_cell_angle_beta 90.00
_cell_angle_gamma 90.00
loop_
_atom_site_label
_atom_site_fract_x
_atom_site_fract_y
_atom_site_fract_z
Mg1 0.000 0.000 0.099
Mg2 0.000 0.000 0.297
Sc1 0.000 0.000 0.500
Hg1 0.500 0.500 0.000
Hg2 0.500 0.500 0.199
Hg3 0.500 0.500 0.398
# density of states at the Fermi level	3.73	states/eV/f.u.

=====

no.,formation enthalpy at 0 K (eV/atom),energy (eV per cell),calculated density (g cm⁻³)
1,-0.256,-51.76,9.40
2,-0.005,-37.51,6.01
3,-0.200,-22.24,7.38
4,-0.309,-23.05,7.01
5,-0.259,-26.55,6.59
6,-0.268,-16.90,8.91